Compound: Tb2Bi4S9
Source: the Alexandria database
Functional: PBE
Structure: optimized geometry

Crystal system: trigonal
Total magnetization in μB per formula unit: 0.00
Final energy in eV per cell: -150.89
DOS at the Fermi energy in states/eV/f.u.: 0.00

Cell: 7.0859 7.0859 18.8224 Å, 90.00 90.00 120.00°
Space group P-3c1 (No. 165)
Unique sites:
Tb 0.0000 0.0000 0.1497 (multiplicity 4)
Bi 0.3333 0.6667 0.0163 (multiplicity 4)
Bi 0.3333 0.6667 0.3149 (multiplicity 4)
S 0.0000 0.2912 0.2500 (multiplicity 6)
S 0.0366 0.3620 0.9161 (multiplicity 12)



Compound: Tb3Bi5S12
Source: the Alexandria database
Functional: PBE
Structure: optimized geometry

Crystal system: cubic
Total magnetization in μB per formula unit: 0.00
Final energy in eV per cell: -792.06

Cell: 16.401 16.401 16.401 Å, 90.00 90.00 90.00°
Space group Ia-3d (No. 230)
Unique sites:
Tb 0.000 0.250 0.125 (multiplicity 24)
Bi 0.000 0.000 0.000 (multiplicity 16)
Bi 0.000 0.250 0.375 (multiplicity 24)
S 0.015 0.072 0.655 (multiplicity 96)



Compound: Tb2BiS
Source: the Alexandria database
Functional: PBE
Structure: optimized geometry

Crystal system: trigonal
Total magnetization in μB per formula unit: 0.00
Final energy in eV per cell: -67.77
ΔE to the lowest computed polymorph in meV/atom: 43
DOS at the Fermi energy in states/eV/f.u.: 3.22

Cell: 4.0654 4.0654 22.1014 Å, 90.00 90.00 120.00°
Space group R3m (No. 160, hexagonal axes)
Unique sites:
Tb 0.0000 0.0000 0.0000 (multiplicity 3)
Tb 0.0000 0.0000 0.1947 (multiplicity 3)
Bi 0.0000 0.0000 0.7644 (multiplicity 3)
S 0.0000 0.0000 0.5949 (multiplicity 3)



Compound: TbBiS
Source: the Alexandria database
Functional: PBE
Structure: optimized geometry

Crystal system: tetragonal
Total magnetization in μB per formula unit: 0.00
Final energy in eV per cell: -31.93
DOS at the Fermi energy in states/eV/f.u.: 1.86

Cell: 3.614 3.614 12.243 Å, 90.00 90.00 90.00°
Space group I4mm (No. 107)
Unique sites:
Tb 0.000 0.000 0.000 (multiplicity 2)
Bi 0.000 0.000 0.299 (multiplicity 2)
S 0.000 0.000 0.578 (multiplicity 2)



Compound: TbBiS3
Source: the Alexandria database
Functional: PBE
Structure: optimized geometry

Crystal system: monoclinic
Total magnetization in μB per formula unit: 0.00
Final energy in eV per cell: -53.20
ΔE to the lowest computed polymorph in meV/atom: 0

Cell: 7.133 4.237 8.536 Å, 90.00 94.51 90.00°
Space group P2_1/m (No. 11)
Unique sites:
Tb 0.226 0.250 0.421 (multiplicity 2)
Bi 0.271 0.750 0.880 (multiplicity 2)
S 0.010 0.250 0.691 (multiplicity 2)
S 0.341 0.250 0.091 (multiplicity 2)
S 0.385 0.750 0.593 (multiplicity 2)



Compound: TbBiS3
Source: the Alexandria database
Functional: PBE
Structure: optimized geometry

Crystal system: hexagonal
Total magnetization in μB per formula unit: 0.00
Final energy in eV per cell: -52.58
ΔE to the lowest computed polymorph in meV/atom: 62
DOS at the Fermi energy in states/eV/f.u.: 0.00

Cell: 6.9370 6.9370 7.0855 Å, 90.00 90.00 120.00°
Space group P-6c2 (No. 188)
Unique sites:
Tb 0.0000 0.0000 0.0000 (multiplicity 2)
Bi 0.3333 0.6667 0.0000 (multiplicity 2)
S 0.0376 0.3247 0.2500 (multiplicity 6)



Compound: TbBi2S6
Source: the Alexandria database
Functional: PBE
Structure: optimized geometry

Crystal system: tetragonal
Total magnetization in μB per formula unit: 0.00
Final energy in eV per cell: -81.35
DOS at the Fermi energy in states/eV/f.u.: 7.91

Cell: 6.287 6.287 12.666 Å, 90.00 90.00 90.00°
Space group P4_2/mnm (No. 136)
Unique sites:
Tb 0.000 0.000 0.000 (multiplicity 2)
Bi 0.000 0.000 0.336 (multiplicity 4)
S 0.193 0.193 0.168 (multiplicity 8)
S 0.194 0.194 0.500 (multiplicity 4)



Compound: Tb3BiS2
Source: the Alexandria database
Functional: PBE
Structure: optimized geometry

Crystal system: orthorhombic
Total magnetization in μB per formula unit: 0.00
Final energy in eV per cell: -134.25
DOS at the Fermi energy in states/eV/f.u.: 4.26

Cell: 7.237 11.120 8.357 Å, 90.00 90.00 90.00°
Space group Imma (No. 74)
Unique sites:
Tb 0.230 0.000 0.000 (multiplicity 8)
Tb 0.250 0.250 0.250 (multiplicity 4)
Bi 0.000 0.250 0.904 (multiplicity 4)
S 0.000 0.062 0.286 (multiplicity 8)



Q: Among the records above, which one has the highest final energy?
A: TbBiS